Entry 1:
A relaxed Y4ErSb5 crystal. Source: Alexandria, functional PBE-GGA.

Calculated values
E_tot   -6.256 eV per atom
DOS at the Fermi energy   1.18 states/eV/cell
Formation energy without anion corrections   -1.15 eV/atom

Cell: 15.803 15.803 15.803 Å, 164.06 164.06 22.62°
Element x y z (fractional)
Y  0.100  0.100  0.000
Y  0.300  0.300  0.000
Y  0.700  0.700  0.000
Y  0.900  0.900  0.000
Er  0.500  0.500  0.000
Sb  0.000  0.000  0.000
Sb  0.200  0.200  0.000
Sb  0.401  0.401  0.000
Sb  0.599  0.599  0.000
Sb  0.800  0.800  0.000

Entry 2:
A relaxed ErZn2Sb crystal. Source: Alexandria, functional PBE-GGA.

Calculated values
E_tot   -3.208 eV per atom
DOS at the Fermi energy   1.88 states/eV/cell
Formation energy without anion corrections   -0.40 eV/atom

Cell: 4.324 4.324 4.509 Å, 90.00 90.00 90.00°
Element x y z (fractional)
Er  0.000  0.000  0.000
Zn  0.000  0.500  0.500
Zn  0.500  0.000  0.500
Sb  0.500  0.500  0.000

Entry 3:
A relaxed Er5Zn2Sb crystal. Source: Alexandria, functional PBE-GGA.

Calculated values
E_tot   -4.165 eV per atom
DOS at the Fermi energy   9.15 states/eV/cell
Formation energy without anion corrections   -0.48 eV/atom

Cell: 8.494 8.494 8.494 Å, 123.60 123.60 83.87°
Element x y z (fractional)
Er  0.000  0.000  0.000
Er  0.010  0.510  0.808
Er  0.202  0.010  0.500
Er  0.298  0.798  0.808
Er  0.490  0.298  0.500
Er  0.500  0.500  0.000
Er  0.510  0.702  0.500
Er  0.702  0.202  0.192
Er  0.798  0.990  0.500
Er  0.990  0.490  0.192
Zn  0.138  0.362  0.500
Zn  0.362  0.862  0.224
Zn  0.638  0.138  0.776
Zn  0.862  0.638  0.500
Sb  0.250  0.250  0.000
Sb  0.750  0.750  0.000

Entry 4:
A relaxed Er4ZnSb2 crystal. Source: Alexandria, functional PBE-GGA.

Calculated values
E_tot   -4.508 eV per atom
DOS at the Fermi energy   5.65 states/eV/cell
Formation energy without anion corrections   -0.54 eV/atom

Cell: 7.791 7.791 7.401 Å, 117.33 117.33 30.94°
Element x y z (fractional)
Er  0.113  0.113  0.258
Er  0.386  0.386  0.179
Er  0.614  0.614  0.821
Er  0.887  0.887  0.742
Zn  0.000  0.000  0.500
Sb  0.236  0.236  0.727
Sb  0.764  0.764  0.273

Entry 5:
A relaxed Er6Zn2Sb crystal. Source: Alexandria, functional PBE-GGA.

Calculated values
E_tot   -4.129 eV per atom
DOS at the Fermi energy   16.11 states/eV/cell
Formation energy without anion corrections   -0.35 eV/atom

Cell: 8.574 8.574 8.574 Å, 115.00 112.96 100.80°
Element x y z (fractional)
Er  0.028  0.227  0.800
Er  0.192  0.289  0.481
Er  0.192  0.711  0.902
Er  0.319  0.015  0.696
Er  0.319  0.623  0.304
Er  0.427  0.227  0.200
Er  0.573  0.773  0.800
Er  0.681  0.377  0.696
Er  0.681  0.985  0.304
Er  0.808  0.289  0.098
Er  0.808  0.711  0.519
Er  0.972  0.773  0.200
Zn  0.117  0.617  0.500
Zn  0.356  0.000  0.356
Zn  0.644  0.000  0.644
Zn  0.883  0.383  0.500
Sb  0.000  0.000  0.000
Sb  0.500  0.500  0.000

Entry 6:
A relaxed Er5ZnSb4 crystal. Source: Alexandria, functional PBE-GGA.

Calculated values
E_tot   -4.883 eV per atom
DOS at the Fermi energy   7.34 states/eV/cell
Formation energy without anion corrections   -0.83 eV/atom

Cell: 7.480 7.480 7.480 Å, 99.57 99.57 131.88°
Element x y z (fractional)
Er  0.000  0.000  0.000
Er  0.197  0.602  0.801
Er  0.396  0.197  0.594
Er  0.602  0.801  0.406
Er  0.801  0.396  0.199
Zn  0.500  0.500  0.000
Sb  0.098  0.299  0.399
Sb  0.299  0.900  0.201
Sb  0.699  0.098  0.799
Sb  0.900  0.699  0.601

Entry 7:
A relaxed Er5ZnSb2 crystal. Source: Alexandria, functional PBE-GGA.

Calculated values
E_tot   -4.373 eV per atom
DOS at the Fermi energy   13.19 states/eV/cell
Formation energy without anion corrections   -0.33 eV/atom

Cell: 6.414 6.414 13.873 Å, 90.00 90.00 128.22°
Element x y z (fractional)
Er  0.070  0.930  0.604
Er  0.070  0.930  0.896
Er  0.377  0.623  0.552
Er  0.377  0.623  0.948
Er  0.417  0.583  0.250
Er  0.583  0.417  0.750
Er  0.623  0.377  0.052
Er  0.623  0.377  0.448
Er  0.930  0.070  0.104
Er  0.930  0.070  0.396
Zn  0.287  0.713  0.750
Zn  0.713  0.287  0.250
Sb  0.200  0.800  0.117
Sb  0.200  0.800  0.383
Sb  0.800  0.200  0.617
Sb  0.800  0.200  0.883

Entry 8:
A relaxed Er8ZnSb2 crystal. Source: Alexandria, functional PBE-GGA.

Calculated values
E_tot   -4.556 eV per atom
DOS at the Fermi energy   10.22 states/eV/cell
Formation energy without anion corrections   -0.37 eV/atom

Cell: 9.750 9.750 6.750 Å, 102.79 102.79 29.27°
Element x y z (fractional)
Er  0.017  0.017  0.274
Er  0.214  0.214  0.833
Er  0.346  0.346  0.486
Er  0.408  0.408  0.022
Er  0.592  0.592  0.978
Er  0.654  0.654  0.514
Er  0.786  0.786  0.167
Er  0.983  0.983  0.726
Zn  0.500  0.500  0.500
Sb  0.181  0.181  0.267
Sb  0.819  0.819  0.733

Entry 9:
A relaxed Er5ZrSb6 crystal. Source: Alexandria, functional PBE-GGA.

Calculated values
E_tot   -5.681 eV per atom
DOS at the Fermi energy   2.98 states/eV/cell
Formation energy without anion corrections   -1.01 eV/atom

Cell: 7.466 7.466 7.463 Å, 99.63 99.63 119.97°
Element x y z (fractional)
Er  0.000  0.000  0.000
Er  0.165  0.835  0.500
Er  0.330  0.670  0.000
Er  0.670  0.330  0.000
Er  0.835  0.165  0.500
Zr  0.500  0.500  0.500
Sb  0.092  0.419  0.255
Sb  0.257  0.257  0.748
Sb  0.419  0.092  0.255
Sb  0.581  0.908  0.745
Sb  0.743  0.743  0.252
Sb  0.908  0.581  0.745

Entry 10:
A relaxed ErZr2Sb2 crystal. Source: Alexandria, functional PBE-GGA.

Calculated values
E_tot   -6.437 eV per atom
DOS at the Fermi energy   7.52 states/eV/cell
Formation energy without anion corrections   -0.46 eV/atom

Cell: 7.541 7.541 5.685 Å, 110.02 110.02 100.02°
Element x y z (fractional)
Er  0.094  0.906  0.750
Er  0.906  0.094  0.250
Zr  0.227  0.411  0.032
Zr  0.411  0.227  0.532
Zr  0.589  0.773  0.468
Zr  0.773  0.589  0.968
Sb  0.188  0.812  0.250
Sb  0.371  0.629  0.750
Sb  0.629  0.371  0.250
Sb  0.812  0.188  0.750

Among the records above, which one has the lowest DOS at the Fermi energy?
Y4ErSb5

Number 6 is which compound?
Er5ZnSb4

Look up the DOS at the Fermi energy of the ninth one.
2.98 states/eV/cell

Look up the E_tot of the fourth one.
-4.508 eV per atom